Density functional theory data (SCAN) for a crystal of CoReTc2I relaxed with PBEsol.

## Properties
- final energy (eV/atom) = -36.853
- energy relative to the elements, uncorrected (eV per atom) = 2.20

```
CoReTc2I
1.0
4.3062 0.0000 0.0000
0.0000 4.3062 0.0000
0.0000 0.0000 4.6641
Co Re Tc I
1 1 2 1
Cartesian
0.0000 0.0000 0.0000 Co
2.1531 2.1531 2.3321 Re
0.0000 2.1531 0.0000 Tc
2.1531 0.0000 0.0000 Tc
0.0000 0.0000 2.3321 I
```